Record 1
# Be2SiCl2 (GGA-PBEsol, relaxed)
data_Be2SiCl2
_chemical_formula_sum 'Be4 Si2 Cl4'
_space_group_name_H-M_alt 'I 4/m m m'
_space_group_IT_number 139
_space_group_name_Hall '-I 4 2'
_cell_length_a 4.101
_cell_length_b 4.101
_cell_length_c 9.618
_cell_angle_alpha 90.00
_cell_angle_beta 90.00
_cell_angle_gamma 90.00
loop_
_atom_site_label
_atom_site_fract_x
_atom_site_fract_y
_atom_site_fract_z
Be1 0.000 0.500 0.250
Si1 0.000 0.000 0.000
Cl1 0.000 0.000 0.334
# Volume, Å³/cell: 161.77
# Energy relative to the elements, uncorrected, kJ/mol of formula units: 300
# Raw total energy, eV per atom: -2.930



Record 2
# Be2SiCl (GGA-PBEsol, relaxed)
data_Be2SiCl
_chemical_formula_sum 'Be2 Si1 Cl1'
_space_group_name_H-M_alt 'P 4/m m m'
_space_group_IT_number 123
_space_group_name_Hall '-P 4 2'
_cell_length_a 2.824
_cell_length_b 2.824
_cell_length_c 6.505
_cell_angle_alpha 90.00
_cell_angle_beta 90.00
_cell_angle_gamma 90.00
loop_
_atom_site_label
_atom_site_fract_x
_atom_site_fract_y
_atom_site_fract_z
Be1 0.000 0.000 0.223
Si1 0.500 0.500 0.000
Cl1 0.500 0.500 0.500
# Excess energy over the best structure of this formula in the dataset, meV/atom: 255
# Volume, Å³/cell: 51.89
# Energy relative to the elements, uncorrected, kJ/mol of formula units: 153
# Raw total energy, eV per atom: -3.543



Record 3
# Be2SiCl (GGA-PBEsol, relaxed)
data_Be2SiCl
_chemical_formula_sum 'Be8 Si4 Cl4'
_space_group_name_H-M_alt 'I -4 2 d'
_space_group_IT_number 122
_space_group_name_Hall 'I -4 2bw'
_cell_length_a 5.154
_cell_length_b 5.154
_cell_length_c 9.841
_cell_angle_alpha 90.00
_cell_angle_beta 90.00
_cell_angle_gamma 90.00
loop_
_atom_site_label
_atom_site_fract_x
_atom_site_fract_y
_atom_site_fract_z
Be1 0.246 0.250 0.125
Si1 0.000 0.000 0.500
Cl1 0.000 0.000 0.000
# Excess energy over the best structure of this formula in the dataset, meV/atom: 71
# Volume, Å³/cell: 261.39
# Energy relative to the elements, uncorrected, kJ/mol of formula units: 82
# Raw total energy, eV per atom: -3.727



Record 4
# Be2SiCl (GGA-PBEsol, relaxed)
data_Be2SiCl
_chemical_formula_sum 'Be2 Si1 Cl1'
_space_group_name_H-M_alt 'P 4/m m m'
_space_group_IT_number 123
_space_group_name_Hall '-P 4 2'
_cell_length_a 4.471
_cell_length_b 4.471
_cell_length_c 2.650
_cell_angle_alpha 90.00
_cell_angle_beta 90.00
_cell_angle_gamma 90.00
loop_
_atom_site_label
_atom_site_fract_x
_atom_site_fract_y
_atom_site_fract_z
Be1 0.000 0.500 0.000
Si1 0.000 0.000 0.500
Cl1 0.500 0.500 0.500
# Excess energy over the best structure of this formula in the dataset, meV/atom: 386
# Volume, Å³/cell: 52.98
# Energy relative to the elements, uncorrected, kJ/mol of formula units: 203
# Raw total energy, eV per atom: -3.413



Record 5
# Be2SiCl (GGA-PBEsol, relaxed)
data_Be2SiCl
_chemical_formula_sum 'Be2 Si1 Cl1'
_space_group_name_H-M_alt 'P m m 2'
_space_group_IT_number 25
_cell_length_a 2.877
_cell_length_b 3.845
_cell_length_c 4.874
_cell_angle_alpha 90.00
_cell_angle_beta 90.00
_cell_angle_gamma 90.00
loop_
_space_group_symop_operation_xyz
'x,y,z'
'-x,-y,z'
'-x,y,z'
'x,-y,z'
loop_
_atom_site_label
_atom_site_fract_x
_atom_site_fract_y
_atom_site_fract_z
Be1 0.000 0.000 0.000
Be2 0.500 0.500 0.421
Si1 0.500 0.500 0.905
Cl1 0.000 0.000 0.416
# Excess energy over the best structure of this formula in the dataset, meV/atom: 57
# Volume, Å³/cell: 53.93
# Energy relative to the elements, uncorrected, kJ/mol of formula units: 76
# Raw total energy, eV per atom: -3.742



Record 6
# BeSn3Cl (GGA-PBEsol, relaxed)
data_BeSn3Cl
_chemical_formula_sum 'Be1 Sn3 Cl1'
_space_group_name_H-M_alt 'P m -3 m'
_space_group_IT_number 221
_space_group_name_Hall '-P 4 2 3'
_cell_length_a 5.248
_cell_length_b 5.248
_cell_length_c 5.248
_cell_angle_alpha 90.00
_cell_angle_beta 90.00
_cell_angle_gamma 90.00
loop_
_atom_site_label
_atom_site_fract_x
_atom_site_fract_y
_atom_site_fract_z
Be1 0.000 0.000 0.000
Sn1 0.000 0.500 0.500
Cl1 0.500 0.500 0.500
# Volume, Å³/cell: 144.50
# Energy relative to the elements, uncorrected, kJ/mol of formula units: 443
# Raw total energy, eV per atom: -2.839



Please write out number 2 again, unchanged.
# Be2SiCl (GGA-PBEsol, relaxed)
data_Be2SiCl
_chemical_formula_sum 'Be2 Si1 Cl1'
_space_group_name_H-M_alt 'P 4/m m m'
_space_group_IT_number 123
_space_group_name_Hall '-P 4 2'
_cell_length_a 2.824
_cell_length_b 2.824
_cell_length_c 6.505
_cell_angle_alpha 90.00
_cell_angle_beta 90.00
_cell_angle_gamma 90.00
loop_
_atom_site_label
_atom_site_fract_x
_atom_site_fract_y
_atom_site_fract_z
Be1 0.000 0.000 0.223
Si1 0.500 0.500 0.000
Cl1 0.500 0.500 0.500
# Excess energy over the best structure of this formula in the dataset, meV/atom: 255
# Volume, Å³/cell: 51.89
# Energy relative to the elements, uncorrected, kJ/mol of formula units: 153
# Raw total energy, eV per atom: -3.543



Q: raw total energy of number 2 (Be2SiCl)?
A: -3.543 eV per atom



Q: Which of these has the lowest raw total energy?
A: number 5



Q: Look up the raw total energy of the first one.
A: -2.930 eV per atom